This record from Alexandria describes a geometry-optimized La2ZrTaN structure. The functional is GGA-PBE.

space group	P4/mmm, No. 123

a = 6.0739 Å, b = 3.9146 Å, c = 6.0739 Å
α = 90.00°, β = 90.00°, γ = 90.00°
Fractional coordinates of all 5 atoms:
N (0.0000, 0.5000, 0.0000)
Zr (0.5000, 0.5000, 0.5000)
La (0.0000, 0.0000, 0.5000)
La (0.5000, 0.0000, 0.0000)
Ta (0.0000, 0.0000, 0.0000)

This record from Alexandria describes a geometry-optimized NaMg6Cr structure. The functional is GGA-PBE.

space group	Amm2, No. 38
energy of formation	0.21	eV per atom
energy above the lowest structure with this stoichiometry	4	meV/atom

a = 6.3804 Å, b = 6.3804 Å, c = 5.1627 Å
α = 90.00°, β = 90.00°, γ = 119.78°
Last column: magnetic moment on the atom in μB.
Fractional coordinates of all 8 atoms:
Cr (0.3430, 0.6570, 0.5000)  3.82
Mg (0.8310, 0.6636, 0.5000)  -0.01
Mg (0.1701, 0.3473, 0.0000)  -0.01
Mg (0.6654, 0.3346, 0.0000)  0.01
Mg (0.8357, 0.1643, 0.5000)  -0.01
Mg (0.3364, 0.1690, 0.5000)  -0.01
Mg (0.6527, 0.8299, 0.0000)  -0.01
Na (0.1658, 0.8342, 0.0000)  0.00

This record from Alexandria describes a geometry-optimized Cd2TePb structure. The functional is GGA-PBE.

space group	P4/mmm, No. 123
energy above the lowest structure with this stoichiometry	80	meV/atom

a = 4.0593 Å, b = 4.0592 Å, c = 6.7648 Å
α = 90.00°, β = 90.00°, γ = 90.00°
Fractional coordinates of all 4 atoms:
Cd (0.0000, 0.0000, 0.5167)
Te (0.5000, 0.5000, 0.7500)
Pb (0.5000, 0.5000, 0.2500)
Cd (0.0000, 0.0000, 0.9833)

Number 1: theoretical density 6485 kg/m3, total DFT energy (no corrections) -0.5217 Ry/atom. Number 2: theoretical density 2010 kg/m3, total DFT energy (no corrections) -0.1733 Ry/atom. Number 3: theoretical density 8337 kg/m3, total DFT energy (no corrections) -0.1588 Ry/atom.